Below is a relaxed RbVCu2F8 crystal, with properties calculated at the PBE+U level.

DFT total energy ... -4.800 eV/atom
Total moment ... 0.00 μB/f.u.

Lattice parameters (Å, degrees): 5.0818 5.2882 7.5519 72.91 74.91 75.60
Site moments in Bohr magnetons follow the coordinates.
Sites, in units of the cell vectors:
F  0.7408  0.7647  0.0540  -0.06
F  0.5921  0.7042  0.4829  -0.10
F  0.2592  0.2353  0.9460  -0.06
V  0.0000  0.0000  0.0000  1.51
F  0.1742  0.7612  0.2011  -0.01
Cu  0.5741  0.5291  0.2818  -0.58
Rb  0.0000  0.0000  0.5000  0.00
F  0.2498  0.7973  0.8231  -0.03
F  0.7502  0.2027  0.1769  -0.03
F  0.4079  0.2958  0.5171  -0.10
F  0.8258  0.2388  0.7989  -0.01
Cu  0.4259  0.4709  0.7182  -0.58